# 1
DFT (PBE) results for an optimized crystal structure of Ni6H3Pt.

```
20
Lattice="8.3423 0.0000 0.0000 0.0000 2.5926 0.0000 -2.1227 0.0000 8.1881" Properties=species:S:1:pos:R:3 pbc="T T T"
Ni -0.0187 0.6481 1.1165
Ni 0.0224 1.9444 3.6610
Ni -0.1197 0.6481 6.1353
Ni 2.0247 1.9444 0.2220
Ni 2.0531 0.6481 2.3714
Ni 2.0311 1.9444 7.1018
Ni 4.1885 0.6481 1.0863
Ni 4.1665 1.9444 5.8167
Ni 4.1949 0.6481 7.9661
Ni 6.3393 1.9444 2.0528
Ni 6.1972 0.6481 4.5271
Ni 6.2383 1.9444 7.0715
H -1.0360 1.9444 5.1869
H 0.9196 1.9444 1.9312
H 0.9511 0.6481 7.7740
H 5.2686 1.9444 0.4141
H 5.3001 0.6481 6.2569
H 7.2557 0.6481 3.0012
Pt 2.0927 0.6481 4.8679
Pt 4.1269 1.9444 3.3202
```

Results
Energy, eV/atom: -5.0707
Symmetry: P2_1/m (11)

# 2
DFT (PBE) results for an optimized crystal structure of Ni2H2Pt.

```
10
Lattice="4.9975 0.0000 0.0000 0.0000 4.9975 0.0000 0.0000 0.0000 3.7372" Properties=species:S:1:pos:R:3 pbc="T T T"
Ni 0.9167 1.5820 0.0000
Ni 1.5820 4.0808 0.0000
Ni 3.4155 0.9167 0.0000
Ni 4.0808 3.4155 0.0000
H 0.9088 1.5900 1.8686
H 1.5900 4.0887 1.8686
H 3.4075 0.9088 1.8686
H 4.0887 3.4075 1.8686
Pt 0.0000 0.0000 1.8686
Pt 2.4988 2.4988 1.8686
```

Results
Excess energy over the best structure of this formula in the dataset, eV/f.u.: 0.30
Symmetry: P4/mbm (127)

# 3
DFT (PBE) results for an optimized crystal structure of Ni5H2Pt2.

```
9
Lattice="4.2002 -1.8460 0.0000 4.2002 1.8460 0.0000 -0.7272 0.0000 5.8611" Properties=species:S:1:pos:R:3 pbc="T T T"
Ni 0.0000 0.0000 0.0000
Ni 0.8956 0.0000 2.5142
Ni 1.7919 0.0000 5.0135
Ni 5.8814 0.0000 0.8477
Ni 6.7777 0.0000 3.3469
H 1.5952 0.0000 0.7980
H 6.0781 0.0000 5.0631
Pt 3.4000 0.0000 1.6709
Pt 4.2732 0.0000 4.1902
```

Results
Energy, eV/atom: -5.3286
Symmetry: C2/m (12)

# 4
DFT (PBE) results for an optimized crystal structure of Ni3H8Pt2.

```
13
Lattice="4.1568 -2.5412 0.0000 4.1568 2.5412 0.0000 -1.0786 0.0000 4.4717" Properties=species:S:1:pos:R:3 pbc="T T T"
Ni 0.0000 0.0000 0.0000
Ni 3.6175 1.2459 2.2359
Ni 3.6175 -1.2459 2.2359
H 2.3343 1.4495 3.3363
H 0.1857 0.0000 3.1560
H 4.9007 1.4495 1.1354
H 2.7959 0.0000 1.4785
H 4.4391 0.0000 2.9932
H 2.3343 -1.4495 3.3363
H 7.0494 0.0000 1.3157
H 4.9007 -1.4495 1.1354
Pt 1.7120 0.0000 4.1099
Pt 5.5231 0.0000 0.3618
```

Results
Energy, eV/atom: -4.2960
Symmetry: C2/m (12)

# 5
DFT (PBE) results for an optimized crystal structure of Ni2H2Pt.

```
10
Lattice="4.6601 0.0000 0.0000 -2.2203 4.1138 0.0000 -0.9264 -1.5232 4.3991" Properties=species:S:1:pos:R:3 pbc="T T T"
Ni -0.8225 1.3664 1.1010
Ni -0.0698 -0.1190 3.2972
Ni 1.5832 2.7096 1.1019
Ni 2.3359 1.2243 3.2981
H -1.7488 2.5050 2.1996
H -0.8892 0.9396 4.3938
H 2.4026 1.6511 0.0053
H 3.2622 0.0857 2.1995
Pt 1.4269 0.0190 1.0976
Pt 0.0865 2.5717 3.3016
```

Results
Excess energy over the best structure of this formula in the dataset, eV/f.u.: 0.00
Symmetry: P-1 (2)

# 6
DFT (PBE) results for an optimized crystal structure of NiHPt3.

```
5
Lattice="3.9647 0.0000 0.0000 0.0000 3.9647 0.0000 0.0000 0.0000 3.9647" Properties=species:S:1:pos:R:3 pbc="T T T"
Ni 0.0000 0.0000 0.0000
H 1.9823 1.9823 1.9823
Pt 0.0000 1.9823 1.9823
Pt 1.9823 0.0000 1.9823
Pt 1.9823 1.9823 0.0000
```

Results
Excess energy over the best structure of this formula in the dataset, eV/f.u.: 0.22
Symmetry: Pm-3m (221)

# 7
DFT (PBE) results for an optimized crystal structure of PuNi2H8Pt.

```
12
Lattice="2.2413 1.2940 5.6955 -2.2413 1.2940 5.6955 0.0000 -2.5880 5.6955" Properties=species:S:1:pos:R:3 pbc="T T T"
Pu 0.0000 0.0000 0.0000
Ni 0.0000 0.0000 3.8651
Ni 0.0000 0.0000 13.2213
H -0.6222 -1.3090 7.5746
H -1.4447 -0.1156 9.5118
H 0.0000 0.0000 5.4159
H -0.8225 1.1934 7.5746
H 0.8225 -1.1934 9.5118
H 0.0000 0.0000 11.6705
H 1.4447 0.1156 7.5746
H 0.6222 1.3090 9.5118
Pt 0.0000 0.0000 8.5432
```

Results
Energy, eV/atom: -5.0065
Symmetry: R-3 (148)

# 8
DFT (PBE) results for an optimized crystal structure of ReNi2HPt.

```
5
Lattice="3.8296 0.0000 0.0000 0.0000 3.8296 0.0000 0.0000 0.0000 3.7429" Properties=species:S:1:pos:R:3 pbc="T T T"
Re 0.0000 0.0000 0.0000
Ni 0.0000 1.9148 1.8715
Ni 1.9148 0.0000 1.8715
H 0.0000 0.0000 1.8715
Pt 1.9148 1.9148 0.0000
```

Results
Energy, eV/atom: -6.5459
Symmetry: P4/mmm (123)

# 9
DFT (PBE) results for an optimized crystal structure of NiHPt2Rh.

```
5
Lattice="3.9518 0.0000 0.0000 0.0000 3.9518 0.0000 0.0000 0.0000 3.8789" Properties=species:S:1:pos:R:3 pbc="T T T"
Ni 0.0000 0.0000 0.0000
H 1.9759 1.9759 1.9395
Pt 0.0000 1.9759 1.9395
Pt 1.9759 0.0000 1.9395
Rh 1.9759 1.9759 0.0000
```

Results
Excess energy over the best structure of this formula in the dataset, eV/f.u.: 0.00
Symmetry: P4/mmm (123)

# 10
DFT (PBE) results for an optimized crystal structure of NiHPt2Rh.

```
5
Lattice="3.9373 0.0000 0.0000 0.0000 3.9373 0.0000 0.0000 0.0000 3.8647" Properties=species:S:1:pos:R:3 pbc="T T T"
Ni 0.0000 0.0000 0.0000
H 0.0000 0.0000 1.9324
Pt 0.0000 1.9686 1.9324
Pt 1.9686 0.0000 1.9324
Rh 1.9686 1.9686 0.0000
```

Results
Excess energy over the best structure of this formula in the dataset, eV/f.u.: 0.01
Symmetry: P4/mmm (123)

# 11
DFT (PBE) results for an optimized crystal structure of Ni2HPtRh.

```
5
Lattice="3.8407 0.0000 0.0000 0.0000 3.8407 0.0000 0.0000 0.0000 3.7035" Properties=species:S:1:pos:R:3 pbc="T T T"
Ni 0.0000 1.9203 0.0000
Ni 1.9203 0.0000 0.0000
H 0.0000 0.0000 0.0000
Pt 1.9203 1.9203 1.8518
Rh 0.0000 0.0000 1.8518
```

Results
Excess energy over the best structure of this formula in the dataset, eV/f.u.: 0.00
Symmetry: P4/mmm (123)

# 12
DFT (PBE) results for an optimized crystal structure of Ni2HPtRh.

```
5
Lattice="3.8315 0.0000 0.0000 0.0000 3.8315 0.0000 0.0000 0.0000 3.7410" Properties=species:S:1:pos:R:3 pbc="T T T"
Ni 0.0000 1.9158 0.0000
Ni 1.9158 0.0000 0.0000
H 0.0000 0.0000 0.0000
Pt 0.0000 0.0000 1.8705
Rh 1.9158 1.9158 1.8705
```

Results
Excess energy over the best structure of this formula in the dataset, eV/f.u.: 0.36
Symmetry: P4/mmm (123)